Entry 1:
Compound: LuAgNO
Source: OQMD
Functional: PBE
Structure: optimized geometry

a b c (Å): 3.409 3.409 8.888
angles (deg): 90.00 90.00 90.67
Sites, in units of the cell vectors:
Lu 0.250 0.750 0.863
Lu 0.750 0.250 0.137
Ag 0.250 0.750 0.371
Ag 0.750 0.250 0.629
N 0.250 0.750 0.122
N 0.750 0.250 0.878
O 0.250 0.750 0.622
O 0.750 0.250 0.378

Total moment ... 0.01 μB per atom
Calculated total energy ... -49.32 eV per cell

Entry 2:
Compound: ErSbPO
Source: OQMD
Functional: PBE
Structure: optimized geometry

a b c (Å): 5.394 5.394 5.228
angles (deg): 90.00 90.00 90.00
Sites, in units of the cell vectors:
Er 0.250 0.750 0.000
Er 0.750 0.250 0.000
Sb 0.250 0.250 0.499
Sb 0.750 0.750 0.501
P 0.250 0.250 0.999
P 0.750 0.750 0.001
O 0.250 0.750 0.500
O 0.750 0.250 0.500

Total moment ... 0.00 μB per atom
Calculated total energy ... -45.82 eV per cell

Entry 3:
Compound: MgCoHgPb
Source: OQMD
Functional: PBE
Structure: optimized geometry

a b c (Å): 4.767 4.767 4.767
angles (deg): 60.00 60.00 60.00
Sites, in units of the cell vectors:
Mg 0.000 0.000 0.000
Co 0.500 0.500 0.500
Hg 0.750 0.750 0.750
Pb 0.250 0.250 0.250

Total moment ... 0.02 μB per atom
Calculated total energy ... -11.43 eV per cell

Entry 4:
Compound: Ho2Ni4B4Ir
Source: OQMD
Functional: PBE
Structure: optimized geometry

a b c (Å): 7.416 6.309 5.262
angles (deg): 79.14 56.68 44.18
Sites, in units of the cell vectors:
Ho 0.145 0.145 0.855
Ho 0.855 0.855 0.145
Ni 0.000 0.000 0.500
Ni 0.250 0.250 0.250
Ni 0.500 0.500 0.000
Ni 0.750 0.750 0.750
B 0.204 0.532 0.468
B 0.468 0.796 0.204
B 0.532 0.204 0.796
B 0.796 0.468 0.532
Ir 0.500 0.500 0.500

Total moment ... 0.00 μB per atom
Calculated total energy ... -72.51 eV per cell

Entry 5:
Compound: SnTeAu
Source: OQMD
Functional: PBE
Structure: optimized geometry

a b c (Å): 5.017 5.017 5.017
angles (deg): 60.00 60.00 60.00
Sites, in units of the cell vectors:
Sn 0.000 0.000 0.000
Te 0.250 0.250 0.250
Au 0.750 0.750 0.750

Calculated total energy ... -9.98 eV per cell

Entry 6:
Compound: DyTlHg
Source: OQMD
Functional: PBE
Structure: optimized geometry

a b c (Å): 4.927 4.927 4.927
angles (deg): 60.00 60.00 60.00
Sites, in units of the cell vectors:
Dy 0.000 0.000 0.000
Tl 0.250 0.250 0.250
Hg 0.500 0.500 0.500

Total moment ... 0.00 μB per atom
Calculated total energy ... -7.75 eV per cell

Entry 7:
Compound: SrHfPO
Source: OQMD
Functional: PBE
Structure: optimized geometry

a b c (Å): 4.482 4.482 9.131
angles (deg): 90.00 90.00 90.00
Sites, in units of the cell vectors:
Sr 0.250 0.250 0.098
Sr 0.750 0.750 0.902
Hf 0.250 0.750 0.500
Hf 0.750 0.250 0.500
P 0.250 0.250 0.634
P 0.750 0.750 0.366
O 0.250 0.750 0.000
O 0.750 0.250 0.000

Total moment ... 0.04 μB per atom
Calculated total energy ... -55.89 eV per cell

Entry 8:
Compound: FeMo2C
Source: OQMD
Functional: PBE
Structure: optimized geometry

a b c (Å): 5.095 5.095 13.438
angles (deg): 101.21 101.21 59.60
Sites, in units of the cell vectors:
Fe 0.065 0.412 0.750
Fe 0.110 0.890 0.750
Fe 0.412 0.065 0.250
Fe 0.588 0.935 0.750
Fe 0.890 0.110 0.250
Fe 0.935 0.588 0.250
Mo 0.025 0.201 0.090
Mo 0.135 0.305 0.409
Mo 0.201 0.025 0.590
Mo 0.305 0.135 0.909
Mo 0.372 0.543 0.123
Mo 0.457 0.628 0.377
Mo 0.543 0.372 0.623
Mo 0.628 0.457 0.877
Mo 0.695 0.865 0.091
Mo 0.799 0.975 0.410
Mo 0.865 0.695 0.591
Mo 0.975 0.799 0.910
C 0.000 0.500 0.000
C 0.197 0.651 0.500
C 0.349 0.803 0.000
C 0.500 0.000 0.500
C 0.651 0.197 0.000
C 0.803 0.349 0.500

Total moment ... 0.30 μB per atom
Calculated total energy ... -231.90 eV per cell

Entry 9:
Compound: RbNiTe2AuSe
Source: OQMD
Functional: PBE
Structure: optimized geometry

a b c (Å): 8.315 8.315 10.950
angles (deg): 90.00 90.00 152.68
Sites, in units of the cell vectors:
Rb 0.243 0.757 0.750
Rb 0.757 0.243 0.250
Ni 0.500 0.500 0.000
Ni 0.500 0.500 0.500
Te 0.103 0.897 0.011
Te 0.103 0.897 0.489
Te 0.897 0.103 0.511
Te 0.897 0.103 0.989
Au 0.076 0.924 0.250
Au 0.924 0.076 0.750
Se 0.456 0.544 0.250
Se 0.544 0.456 0.750

Total moment ... 0.00 μB per atom
Calculated total energy ... -41.93 eV per cell

Entry 10:
Compound: DyY4Er2Fe2Te2
Source: OQMD
Functional: PBE
Structure: optimized geometry

a b c (Å): 9.341 9.341 9.341
angles (deg): 155.96 65.73 119.86
Sites, in units of the cell vectors:
Dy 0.000 0.000 0.000
Y 0.282 0.416 0.866
Y 0.551 0.416 0.134
Y 0.615 0.265 0.350
Y 0.915 0.265 0.650
Er 0.309 0.623 0.686
Er 0.936 0.623 0.314
Fe 0.170 0.934 0.237
Fe 0.697 0.934 0.763
Te 0.264 0.764 0.500
Te 0.665 0.665 0.000

Total moment ... 0.06 μB per atom
Calculated total energy ... -67.88 eV per cell

Entry 11:
Compound: ErNb
Source: OQMD
Functional: PBE
Structure: optimized geometry

a b c (Å): 4.744 4.744 4.744
angles (deg): 60.00 60.00 60.00
Sites, in units of the cell vectors:
Er 0.000 0.000 0.000
Nb 0.750 0.750 0.750

Total moment ... 2.03 μB per atom
Energy of formation ... 2.5191 eV/atom
Calculated total energy ... -9.62 eV per cell

Entry 12:
Compound: Zn3Au4
Source: OQMD
Functional: PBE
Structure: optimized geometry

a b c (Å): 5.428 5.428 5.428
angles (deg): 109.47 109.47 109.47
Sites, in units of the cell vectors:
Zn 0.000 0.500 0.500
Zn 0.500 0.000 0.500
Zn 0.500 0.500 0.000
Au 0.000 0.000 0.500
Au 0.000 0.500 0.000
Au 0.500 0.000 0.000
Au 0.500 0.500 0.500

Energy of formation ... -0.1671 eV/atom
Calculated total energy ... -18.03 eV per cell

The highest calculated total energy belongs to which entry?
DyTlHg

Which of these has the highest calculated total energy?
DyTlHg

calculated total energy of number 10 (DyY4Er2Fe2Te2)?
-67.88 eV per cell

Which of these has the lowest calculated total energy?
FeMo2C